Entry 1:
This record from Alexandria via LeMat-Bulk describes Na3HoBr6 after structural relaxation. The functional is GGA-PBEsol.

Values from the calculation:
Energy relative to the elements, uncorrected   -1665.4 meV per atom
Space group   P2_1/c, No. 14
Spin magnetization   0.0 Bohr magnetons per cell
Final energy   -74.05 eV for the cell shown
Fermi-level density of states   0.00 states/eV per cell

```
data_Na3HoBr6
_chemical_formula_sum 'Na6 Ho2 Br12'
_cell_length_a 7.092
_cell_length_b 7.667
_cell_length_c 12.631
_cell_angle_alpha 90.00
_cell_angle_beta 123.22
_cell_angle_gamma 90.00
_symmetry_space_group_name_H-M 'P 1'
_symmetry_Int_Tables_number 1
loop_
_symmetry_equiv_pos_as_xyz
'x,y,z'
loop_
_atom_site_label
_atom_site_type_symbol
_atom_site_fract_x
_atom_site_fract_y
_atom_site_fract_z
Na1 Na 0.000 0.000 0.000
Na2 Na 0.000 0.500 0.500
Na3 Na 0.204 0.094 0.742
Na4 Na 0.204 0.406 0.242
Na5 Na 0.796 0.594 0.758
Na6 Na 0.796 0.906 0.258
Ho1 Ho 0.500 0.000 0.500
Ho2 Ho 0.500 0.500 0.000
Br1 Br 0.114 0.179 0.431
Br2 Br 0.114 0.321 0.931
Br3 Br 0.255 0.694 0.421
Br4 Br 0.255 0.806 0.921
Br5 Br 0.408 0.059 0.260
Br6 Br 0.408 0.441 0.760
Br7 Br 0.592 0.559 0.240
Br8 Br 0.592 0.941 0.740
Br9 Br 0.745 0.194 0.079
Br10 Br 0.745 0.306 0.579
Br11 Br 0.886 0.679 0.069
Br12 Br 0.886 0.821 0.569
```


Entry 2:
This record from Alexandria via LeMat-Bulk describes HoBrO after structural relaxation. The functional is GGA-PBEsol.

Values from the calculation:
Energy relative to the elements, uncorrected   -2923.8 meV per atom
Space group   Pmmn, No. 59
Spin magnetization   0.0 Bohr magnetons per cell
Final energy   -41.68 eV for the cell shown
Fermi-level density of states   0.00 states/eV per cell

```
data_HoBrO
_chemical_formula_sum 'Ho2 Br2 O2'
_cell_length_a 3.777
_cell_length_b 4.103
_cell_length_c 9.170
_cell_angle_alpha 90.00
_cell_angle_beta 90.00
_cell_angle_gamma 90.00
_symmetry_space_group_name_H-M 'P 1'
_symmetry_Int_Tables_number 1
loop_
_symmetry_equiv_pos_as_xyz
'x,y,z'
loop_
_atom_site_label
_atom_site_type_symbol
_atom_site_fract_x
_atom_site_fract_y
_atom_site_fract_z
Ho1 Ho 0.250 0.250 0.112
Ho2 Ho 0.750 0.750 0.888
Br1 Br 0.250 0.750 0.663
Br2 Br 0.750 0.250 0.337
O1 O 0.250 0.750 0.024
O2 O 0.750 0.250 0.976
```


Entry 3:
This record from Alexandria via LeMat-Bulk describes HoBrO after structural relaxation. The functional is GGA-PBEsol.

Values from the calculation:
Energy relative to the elements, uncorrected   -2990.1 meV per atom
Space group   P4/nmm, No. 129
Spin magnetization   0.0 Bohr magnetons per cell
Final energy   -42.08 eV for the cell shown
Fermi-level density of states   0.00 states/eV per cell

```
data_HoBrO
_chemical_formula_sum 'Ho2 Br2 O2'
_cell_length_a 3.776
_cell_length_b 3.776
_cell_length_c 8.410
_cell_angle_alpha 90.00
_cell_angle_beta 90.00
_cell_angle_gamma 90.00
_symmetry_space_group_name_H-M 'P 1'
_symmetry_Int_Tables_number 1
loop_
_symmetry_equiv_pos_as_xyz
'x,y,z'
loop_
_atom_site_label
_atom_site_type_symbol
_atom_site_fract_x
_atom_site_fract_y
_atom_site_fract_z
Ho1 Ho 0.250 0.250 0.133
Ho2 Ho 0.750 0.750 0.867
Br1 Br 0.250 0.250 0.673
Br2 Br 0.750 0.750 0.327
O1 O 0.250 0.750 0.000
O2 O 0.750 0.250 0.000
```


Entry 4:
This record from Alexandria via LeMat-Bulk describes HoWBrO4 after structural relaxation. The functional is GGA-PBEsol.

Values from the calculation:
Energy relative to the elements, uncorrected   -2491.9 meV per atom
Space group   P-1, No. 2
Spin magnetization   0.0 Bohr magnetons per cell
Final energy   -236.27 eV for the cell shown
Fermi-level density of states   0.00 states/eV per cell

```
data_HoWBrO4
_chemical_formula_sum 'Ho4 W4 Br4 O16'
_cell_length_a 6.876
_cell_length_b 7.215
_cell_length_c 10.788
_cell_angle_alpha 74.57
_cell_angle_beta 71.95
_cell_angle_gamma 85.14
_symmetry_space_group_name_H-M 'P 1'
_symmetry_Int_Tables_number 1
loop_
_symmetry_equiv_pos_as_xyz
'x,y,z'
loop_
_atom_site_label
_atom_site_type_symbol
_atom_site_fract_x
_atom_site_fract_y
_atom_site_fract_z
Ho1 Ho 0.070 0.101 0.269
Ho2 Ho 0.392 0.666 0.235
Ho3 Ho 0.608 0.334 0.765
Ho4 Ho 0.930 0.899 0.731
W1 W 0.132 0.414 0.623
W2 W 0.408 0.815 0.868
W3 W 0.592 0.185 0.132
W4 W 0.868 0.586 0.377
Br1 Br 0.211 0.274 0.985
Br2 Br 0.253 0.031 0.484
Br3 Br 0.747 0.969 0.516
Br4 Br 0.789 0.726 0.015
O1 O 0.031 0.609 0.696
O2 O 0.054 0.783 0.292
O3 O 0.204 0.886 0.798
O4 O 0.206 0.505 0.442
O5 O 0.303 0.736 0.045
O6 O 0.362 0.348 0.665
O7 O 0.408 0.989 0.191
O8 O 0.454 0.375 0.199
O9 O 0.546 0.625 0.801
O10 O 0.592 0.011 0.809
O11 O 0.638 0.652 0.335
O12 O 0.697 0.264 0.955
O13 O 0.794 0.495 0.558
O14 O 0.796 0.114 0.202
O15 O 0.946 0.217 0.708
O16 O 0.969 0.391 0.304
```